No. 1
Pr2ErScS6: relaxed, PBE.

a b c (Å): 6.632 7.278 9.805
angles (deg): 90.00 89.33 90.00
Atoms (fractional coordinates):
S (0.315, 0.683, 0.434)
S (0.685, 0.317, 0.566)
S (0.185, 0.183, 0.066)
S (0.135, 0.456, 0.744)
S (0.174, 0.192, 0.433)
S (0.865, 0.544, 0.256)
S (0.826, 0.808, 0.567)
S (0.326, 0.692, 0.067)
S (0.365, 0.956, 0.756)
S (0.674, 0.308, 0.933)
S (0.815, 0.817, 0.934)
S (0.635, 0.044, 0.244)
Pr (0.037, 0.905, 0.251)
Pr (0.463, 0.405, 0.249)
Pr (0.537, 0.595, 0.751)
Pr (0.963, 0.095, 0.749)
Sc (0.000, 0.500, 0.500)
Sc (0.500, 0.000, 0.000)
Er (0.500, 0.000, 0.500)
Er (0.000, 0.500, 0.000)

Computed properties:
As for the space-group type: P2_1/c. The value obtained for the raw formation energy is -2033 meV/atom. The calculation puts the theoretical density at 4.82 g/cm³.

No. 2
KS4O: relaxed, PBE.

a b c (Å): 6.489 6.489 9.164
angles (deg): 67.08 67.08 98.42
Atoms (fractional coordinates):
S (0.799, 0.913, 0.803)
S (0.955, 0.338, 0.176)
S (0.662, 0.045, 0.324)
S (0.913, 0.799, 0.303)
S (0.045, 0.662, 0.824)
S (0.201, 0.087, 0.197)
S (0.338, 0.955, 0.676)
S (0.087, 0.201, 0.697)
K (0.388, 0.612, 0.250)
K (0.612, 0.388, 0.750)
O (0.651, 0.349, 0.250)
O (0.349, 0.651, 0.750)

Computed properties:
As for the space-group type: C2/c. The value obtained for the raw formation energy is -202 meV/atom. The calculation puts the theoretical density at 1.99 g/cm³.

No. 3
La3Ga4Ni2: relaxed, PBE.

a b c (Å): 4.476 5.854 8.306
angles (deg): 101.22 90.00 112.48
Atoms (fractional coordinates):
La (0.610, 0.220, 0.696)
La (0.390, 0.780, 0.304)
La (0.000, 0.000, 0.000)
Ga (0.887, 0.774, 0.590)
Ga (0.719, 0.438, 0.086)
Ga (0.113, 0.226, 0.410)
Ga (0.281, 0.562, 0.914)
Ni (0.692, 0.385, 0.371)
Ni (0.308, 0.615, 0.629)

Computed properties:
As for the space-group type: C2/m. The calculation puts the energy of formation at -567 meV/atom. The value obtained for the energy above the most stable polymorph in this dataset is 28.3 meV per atom. The calculation puts the theoretical density at 6.87 g/cm³.

No. 4
SrYZr2W: relaxed, PBE.

a b c (Å): 5.223 5.654 5.223
angles (deg): 90.00 90.00 90.00
Atoms (fractional coordinates):
Sr (0.500, 0.500, 0.500)
W (0.000, 0.000, 0.000)
Y (0.000, 0.500, 0.000)
Zr (0.500, 0.000, 0.000)
Zr (0.000, 0.000, 0.500)

Computed properties:
As for the space-group type: P4/mmm. The calculation puts the energy of formation at 556 meV/atom. The calculation puts the theoretical density at 5.84 g/cm³.